Density functional theory data (PBE+U) for crystalline ZrNiF3 at its relaxed geometry.

```
data_ZrNiF3
_chemical_formula_sum 'Zr1 Ni1 F3'
_symmetry_space_group_name_H-M 'P m -3 m'
_symmetry_Int_Tables_number 221
_symmetry_space_group_name_Hall '-P 4 2 3'
_cell_length_a 4.236
_cell_length_b 4.236
_cell_length_c 4.236
_cell_angle_alpha 90.00
_cell_angle_beta 90.00
_cell_angle_gamma 90.00
loop_
_atom_site_label
_atom_site_type_symbol
_atom_site_fract_x
_atom_site_fract_y
_atom_site_fract_z
Zr1 Zr 0.000 0.000 0.000
Ni1 Ni 0.500 0.500 0.500
F1 F 0.000 0.000 0.500
```

E ... -24.77 eV/cell
Volume ... 76.0 Å³/cell
Energy above the lowest structure with this stoichiometry ... 0.000 eV per atom